# PuZr4N5

A relaxed PuZr4N5 crystal (PBE, Alexandria).

abc: 4.667 5.722 5.722
angles: 80.43 65.93 65.93
Last column: magnetic moment on the atom in μB.
Element x y z (fractional)
Pu 0.001 0.000 0.000  4.39
Zr 0.404 0.398 0.796  0.04
Zr 0.802 0.796 0.602  0.04
Zr 0.200 0.204 0.398  0.04
Zr 0.598 0.602 0.204  0.04
N 0.900 0.405 0.796  -0.04
N 0.305 0.796 0.595  -0.04
N 0.697 0.204 0.405  -0.04
N 0.102 0.595 0.204  -0.04
N 0.501 0.000 0.000  -0.10

Properties
For the total energy, the calculation gives -10.64 eV/atom. As for the raw formation energy: -1571 kJ/mol of formula units.